Record 1
A plane-wave DFT calculation with GGA-PBE was carried out for Li7MgSb4 after structural relaxation.

The structure in POSCAR format:
```
Li7MgSb4
1.0
5.6009 0.0000 0.0000
2.0005 5.8245 0.0000
0.1629 0.0308 7.8956
Li Mg Sb
7 1 4
Cartesian
0.0000 0.0000 0.0000
0.6262 1.4920 4.8875
2.3974 2.9952 0.3157
4.3487 4.5282 4.9509
3.4156 1.3272 2.9448
5.3669 2.8602 7.5799
7.1381 4.3634 3.0081
2.8005 0.0000 0.0000
0.6303 1.4979 2.0449
3.4348 1.6709 5.7756
4.3295 4.1844 2.1201
7.1340 4.3574 5.8508
```

raw formation energy = -0.4640 eV per atom
E = -3.087 eV/atom

Record 2
A plane-wave DFT calculation with GGA-PBE was carried out for LiMg2Sb after structural relaxation.

The structure in POSCAR format:
```
LiMg2Sb
1.0
3.2412 0.0000 0.0000
0.0000 3.2412 0.0000
0.0000 0.0000 8.8570
Li Mg Sb
1 2 1
Cartesian
0.0000 0.0000 0.0000
1.6206 1.6206 2.1096
1.6206 1.6206 6.7473
0.0000 0.0000 4.4285
```

raw formation energy = -0.0768 eV per atom
E = -2.383 eV/atom

Record 3
A plane-wave DFT calculation with GGA-PBE was carried out for LiMgSb after structural relaxation.

The structure in POSCAR format:
```
LiMgSb
1.0
-2.0225 2.0225 4.1334
2.0225 -2.0225 4.1334
2.0225 2.0225 -4.1334
Li Mg Sb
1 1 1
Cartesian
0.0000 0.0000 0.0000
0.0000 0.0000 2.6423
0.0000 0.0000 5.5460
```

raw formation energy = -0.3108 eV per atom
E = -2.854 eV/atom

Record 4
A plane-wave DFT calculation with GGA-PBE was carried out for Li2MgSb after structural relaxation.

The structure in POSCAR format:
```
Li2MgSb
1.0
2.5176 -2.5232 0.0000
2.5176 2.5232 0.0000
0.0000 0.0000 6.4461
Li Mg Sb
2 1 1
Cartesian
0.0000 0.0000 1.4996
0.0000 0.0000 4.9464
2.5176 0.0000 3.2230
2.5176 0.0000 0.0000
```

raw formation energy = -0.2729 eV per atom
E = -2.659 eV/atom

Record 5
A plane-wave DFT calculation with GGA-PBE was carried out for LiMgSb2 after structural relaxation.

The structure in POSCAR format:
```
LiMgSb2
1.0
0.0000 3.6550 3.6550
3.6550 0.0000 3.6550
3.6550 3.6550 0.0000
Li Mg Sb
1 1 2
Cartesian
0.0000 0.0000 0.0000
5.4825 5.4825 5.4825
1.8275 1.8275 1.8275
3.6550 3.6550 3.6550
```

raw formation energy = -0.0423 eV per atom
E = -2.981 eV/atom

Record 6
A plane-wave DFT calculation with GGA-PBE was carried out for LiMg2Sb after structural relaxation.

The structure in POSCAR format:
```
LiMg2Sb
1.0
-2.1666 2.1666 4.6527
2.1666 -2.1666 4.6527
2.1666 2.1666 -4.6527
Li Mg Sb
1 2 1
Cartesian
0.0000 0.0000 0.0000
2.1666 0.0000 2.3264
0.0000 0.0000 4.6527
0.0000 2.1666 2.3264
```

raw formation energy = -0.2453 eV per atom
E = -2.552 eV/atom

Record 7
A plane-wave DFT calculation with GGA-PBE was carried out for LiMg2Sb after structural relaxation.

The structure in POSCAR format:
```
LiMg2Sb
1.0
4.4088 0.0000 0.0000
0.0000 4.4088 0.0000
0.0000 0.0000 4.3975
Li Mg Sb
1 2 1
Cartesian
0.0000 0.0000 0.0000
0.0000 2.2044 2.1987
2.2044 0.0000 2.1987
2.2044 2.2044 0.0000
```

raw formation energy = -0.3084 eV per atom
E = -2.615 eV/atom

Record 8
A plane-wave DFT calculation with GGA-PBE was carried out for LiMgSb after structural relaxation.

The structure in POSCAR format:
```
LiMgSb
1.0
4.5438 0.0000 0.0000
-2.2719 3.9351 0.0000
0.0000 0.0000 3.7510
Li Mg Sb
1 1 1
Cartesian
0.0000 0.0000 0.0000
2.2719 1.3117 1.8675
0.0000 2.6234 3.7253
```

raw formation energy = -0.3052 eV per atom
E = -2.849 eV/atom